DFT (PBE-GGA) results for crystalline Sc2SeI at its relaxed geometry.

Computed properties:
* total moment: 0.0 Bohr magnetons per cell
* crystal system: trigonal

```
data_Sc2SeI
_chemical_formula_sum 'Sc6 Se3 I3'
_symmetry_space_group_name_H-M 'R 3 m'
_symmetry_Int_Tables_number 160
_symmetry_space_group_name_Hall 'R 3 -2"'
_cell_length_a 3.8675
_cell_length_b 3.8675
_cell_length_c 21.8284
_cell_angle_alpha 90.00
_cell_angle_beta 90.00
_cell_angle_gamma 120.00
loop_
_atom_site_label
_atom_site_fract_x
_atom_site_fract_y
_atom_site_fract_z
Sc1 0.0000 0.0000 0.0000
Sc2 0.0000 0.0000 0.1999
Se1 0.0000 0.0000 0.6000
I1 0.0000 0.0000 0.4301
```


DFT (PBE-GGA) results for crystalline Sc2SeI at its relaxed geometry.

Computed properties:
* total moment: 1.5 Bohr magnetons per cell
* crystal system: trigonal

```
data_Sc2SeI
_chemical_formula_sum 'Sc6 Se3 I3'
_symmetry_space_group_name_H-M 'R -3 m'
_symmetry_Int_Tables_number 166
_symmetry_space_group_name_Hall '-R 3 2"'
_cell_length_a 3.8195
_cell_length_b 3.8195
_cell_length_c 27.7078
_cell_angle_alpha 90.00
_cell_angle_beta 90.00
_cell_angle_gamma 120.00
loop_
_atom_site_label
_atom_site_fract_x
_atom_site_fract_y
_atom_site_fract_z
Sc1 0.0000 0.0000 0.0875
Se1 0.0000 0.0000 0.0000
I1 0.0000 0.0000 0.5000
```


DFT (PBE-GGA) results for crystalline ScSe2I at its relaxed geometry.

Computed properties:
* total moment: 6.8 Bohr magnetons per cell
* crystal system: tetragonal

```
data_ScSe2I
_chemical_formula_sum 'Sc4 Se8 I4'
_symmetry_space_group_name_H-M 'I -4 2 d'
_symmetry_Int_Tables_number 122
_symmetry_space_group_name_Hall 'I -4 2bw'
_cell_length_a 7.273
_cell_length_b 7.273
_cell_length_c 10.803
_cell_angle_alpha 90.00
_cell_angle_beta 90.00
_cell_angle_gamma 90.00
loop_
_atom_site_label
_atom_site_fract_x
_atom_site_fract_y
_atom_site_fract_z
Sc1 0.000 0.000 0.000
Se1 0.170 0.250 0.125
I1 0.000 0.000 0.500
```


| no. | formation energy from raw total energies (eV per formula unit) |
| --- | --- |
| 1 | -4.2 |
| 2 | -1.7 |
| 3 | -2.0 |